(1)
DFT (GGA-PBE) results for a geometry-optimized Tb2YAl3AgPt2 structure.

a = 3.9221 Å, b = 12.7666 Å, c = 7.3626 Å
α = 90.00°, β = 90.00°, γ = 90.00°
Closest atoms and distances in Å follow each position.
Space group Amm2 (No. 38)
One atom of each set of equivalent atoms:
1 Tb 0.0000 0.2076 0.0000  4 Pt 2.95-2.96, 1 Ag 3.06, 2 Al 3.11
2 Y 0.0000 0.0000 0.3777  4 Pt 2.97, 1 Ag 3.06, 6 Al 3.10-3.31
3 Al 0.5000 0.0000 0.0508  2 Ag 2.73, 2 Pt 2.78
4 Al 0.5000 0.1284 0.6631  2 Ag 2.73, 2 Pt 2.78
5 Ag 0.0000 0.0000 0.7929  6 Al 2.73
6 Pt 0.5000 0.1673 0.2918  3 Al 2.78, 4 Tb 2.95-2.96, 2 Y 2.97

(2)
DFT (GGA-PBE) results for a geometry-optimized TbY2Al3AgPt2 structure.

a = 3.9173 Å, b = 12.7515 Å, c = 7.3708 Å
α = 90.00°, β = 90.00°, γ = 90.00°
Closest atoms and distances in Å follow each position.
Space group Amm2 (No. 38)
One atom of each set of equivalent atoms:
1 Tb 0.0000 0.0000 0.0000  4 Pt 2.95, 1 Ag 3.06, 2 Al 3.11
2 Y 0.0000 0.2073 0.3775  4 Pt 2.96, 1 Ag 3.06, 6 Al 3.10-3.31
3 Al 0.5000 0.0000 0.3271  2 Ag 2.73, 2 Pt 2.77
4 Al 0.5000 0.1298 0.7135  2 Ag 2.73, 2 Pt 2.77
5 Ag 0.0000 0.0000 0.5854  6 Al 2.73, 2 Y 3.06, 1 Tb 3.06
6 Pt 0.5000 0.1660 0.0842  3 Al 2.77, 2 Tb 2.95, 4 Y 2.96

(3)
DFT (GGA-PBE) results for a geometry-optimized YTm2Al3AgPt2 structure.

a = 3.8764 Å, b = 12.7126 Å, c = 7.3033 Å
α = 90.00°, β = 90.00°, γ = 90.00°
Closest atoms and distances in Å follow each position.
Space group Amm2 (No. 38)
One atom of each set of equivalent atoms:
1 Y 0.0000 0.0000 0.0000  4 Pt 2.97, 1 Ag 3.05, 6 Al 3.08-3.29
2 Tm 0.0000 0.2074 0.6201  4 Pt 2.92, 1 Ag 3.02, 2 Al 3.08
3 Al 0.5000 0.0000 0.6731  2 Ag 2.69, 2 Pt 2.77
4 Al 0.5000 0.1299 0.2843  2 Pt 2.72-2.76, 2 Ag 2.72
5 Ag 0.0000 0.0000 0.4171  6 Al 2.69-2.72
6 Pt 0.5000 0.1695 0.9121  3 Al 2.72-2.77, 4 Tm 2.92, 2 Y 2.97

Computed raw total energy (eV per atom) in order:
-5.524, -5.729, -5.505